(1)
Compound: Mg2AlCl
Source: Alexandria
Functional: GGA-PBE
Structure: optimized geometry

Values from the calculation:
N(E_F) = 0.80 states/eV/cell
Polymorph energy (0 for the lowest one) = 0.063 eV per atom
Symmetry = R-3m
Calculated total energy = -2.63 eV/atom
Magnetization = 0.00 Bohr magnetons per cell

a = 8.7575 Å, b = 8.7575 Å, c = 8.7575 Å
α = 21.90°, β = 21.90°, γ = 21.90°
Element x y z (fractional)
Mg 0.2477 0.2477 0.2477
Mg 0.7523 0.7523 0.7523
Al 0.0000 0.0000 0.0000
Cl 0.5000 0.5000 0.5000

=====

(2)
Compound: TaAlAu3
Source: Alexandria
Functional: GGA-PBE
Structure: optimized geometry

Values from the calculation:
N(E_F) = 3.51 states/eV/cell
Polymorph energy (0 for the lowest one) = 0.180 eV per atom
Symmetry = Pm-3m
Calculated total energy = -4.14 eV/atom
Magnetization = 0.00 Bohr magnetons per cell

a = 5.1616 Å, b = 5.1616 Å, c = 5.1616 Å
α = 90.00°, β = 90.00°, γ = 90.00°
Element x y z (fractional)
Ta 0.0000 0.0000 0.0000
Al 0.5000 0.5000 0.5000
Au 0.0000 0.0000 0.5000
Au 0.0000 0.5000 0.0000
Au 0.5000 0.0000 0.0000

=====

(3)
Compound: TaNbSi
Source: Alexandria
Functional: GGA-PBE
Structure: optimized geometry

Values from the calculation:
N(E_F) = 3.50 states/eV/cell
Symmetry = Fmmm
Calculated total energy = -9.70 eV/atom
Magnetization = 0.00 Bohr magnetons per cell

a = 6.1935 Å, b = 5.0728 Å, c = 5.0725 Å
α = 75.25°, β = 52.38°, γ = 52.37°
Element x y z (fractional)
Ta 0.1633 0.8367 0.1633
Ta 0.8367 0.1633 0.8367
Nb 0.3368 0.3368 0.6632
Nb 0.6632 0.6632 0.3368
Si 0.2500 0.2500 0.2500
Si 0.7500 0.7500 0.7500

=====

(4)
Compound: Er7OsSe5
Source: Alexandria
Functional: GGA-PBE
Structure: optimized geometry

Values from the calculation:
N(E_F) = 11.85 states/eV/cell
Symmetry = Cmc2_1
Calculated total energy = -6.04 eV/atom
Magnetization = 0.00 Bohr magnetons per cell

a = 6.9345 Å, b = 6.9345 Å, c = 24.3516 Å
α = 90.00°, β = 90.00°, γ = 147.17°
Element x y z (fractional)
Er 0.0439 0.9561 0.5000
Er 0.1323 0.8677 0.2181
Er 0.1455 0.8545 0.7910
Er 0.2854 0.7146 0.4351
Er 0.3069 0.6931 0.5686
Er 0.3908 0.6092 0.1198
Er 0.4186 0.5814 0.8670
Er 0.5814 0.4186 0.3670
Er 0.6092 0.3908 0.6198
Er 0.6931 0.3069 0.0686
Er 0.7146 0.2854 0.9351
Er 0.8545 0.1455 0.2910
Er 0.8677 0.1323 0.7181
Er 0.9561 0.0439 0.0000
Os 0.3089 0.6911 0.0107
Os 0.6911 0.3089 0.5107
Se 0.0465 0.9535 0.1124
Se 0.0639 0.9361 0.8962
Se 0.2150 0.7850 0.3244
Se 0.2278 0.7722 0.6808
Se 0.4924 0.5076 0.2530
Se 0.5076 0.4924 0.7530
Se 0.7722 0.2278 0.1808
Se 0.7850 0.2150 0.8244
Se 0.9361 0.0639 0.3962
Se 0.9535 0.0465 0.6124

=====

(5)
Compound: BaNi2Pb
Source: Alexandria
Functional: GGA-PBE
Structure: optimized geometry

Values from the calculation:
N(E_F) = 2.55 states/eV/cell
Polymorph energy (0 for the lowest one) = 0.317 eV per atom
Symmetry = P4/mmm
Calculated total energy = -4.07 eV/atom
Magnetization = 0.00 Bohr magnetons per cell

a = 3.5977 Å, b = 3.5977 Å, c = 7.0472 Å
α = 90.00°, β = 90.00°, γ = 90.00°
Element x y z (fractional)
Ba 0.0000 0.0000 0.0000
Ni 0.5000 0.5000 0.3250
Ni 0.5000 0.5000 0.6750
Pb 0.0000 0.0000 0.5000

=====

(6)
Compound: LiSmMgGe2
Source: Alexandria
Functional: GGA-PBE
Structure: optimized geometry

Values from the calculation:
N(E_F) = 3.25 states/eV/cell
Symmetry = I-4m2
Calculated total energy = -4.02 eV/atom
Magnetization = 0.00 Bohr magnetons per cell

a = 6.5350 Å, b = 6.5350 Å, c = 6.5350 Å
α = 142.46°, β = 142.46°, γ = 54.14°
Element x y z (fractional)
Li 0.0000 0.0000 0.0000
Sm 0.7500 0.2500 0.5000
Mg 0.5000 0.5000 0.0000
Ge 0.1429 0.6429 0.5000
Ge 0.3571 0.8571 0.5000

=====

(7)
Compound: CdInHg2S4
Source: Alexandria
Functional: GGA-PBE
Structure: optimized geometry

Values from the calculation:
N(E_F) = 5.06 states/eV/cell
Symmetry = Pmn2_1
Calculated total energy = -2.89 eV/atom
Magnetization = 0.00 Bohr magnetons per cell

a = 8.5045 Å, b = 7.4814 Å, c = 6.9593 Å
α = 90.00°, β = 90.00°, γ = 90.00°
Element x y z (fractional)
Cd 0.0000 0.1633 0.0000
Cd 0.5000 0.8367 0.5000
In 0.0000 0.8354 0.5000
In 0.5000 0.1646 0.0000
Hg 0.2499 0.3315 0.5023
Hg 0.2501 0.6685 0.0023
Hg 0.7501 0.3315 0.5023
Hg 0.7499 0.6685 0.0023
S 0.0000 0.1549 0.3751
S 0.0000 0.8399 0.8665
S 0.2461 0.6711 0.3877
S 0.2539 0.3289 0.8877
S 0.5000 0.1601 0.3665
S 0.5000 0.8451 0.8751
S 0.7461 0.3289 0.8877
S 0.7539 0.6711 0.3877

=====

(8)
Compound: Tb5PrSm8
Source: Alexandria
Functional: GGA-PBE
Structure: optimized geometry

Values from the calculation:
N(E_F) = 21.14 states/eV/cell
Symmetry = I-4
Calculated total energy = -4.45 eV/atom
Magnetization = 0.00 Bohr magnetons per cell

a = 8.5498 Å, b = 8.5498 Å, c = 8.5498 Å
α = 111.59°, β = 111.59°, γ = 105.31°
Element x y z (fractional)
Tb 0.0000 0.0000 0.0000
Tb 0.3180 0.6352 0.0976
Tb 0.3648 0.4624 0.6828
Tb 0.5376 0.2204 0.9024
Tb 0.7796 0.6820 0.3172
Pr 0.7500 0.2500 0.5000
Sm 0.0318 0.4266 0.2528
Sm 0.0695 0.1608 0.7370
Sm 0.1739 0.7790 0.7472
Sm 0.2210 0.9682 0.3949
Sm 0.4238 0.3325 0.2630
Sm 0.5734 0.8261 0.6051
Sm 0.6675 0.9305 0.0913
Sm 0.8392 0.5762 0.9087

=====

(9)
Compound: CaAc2Cu
Source: Alexandria
Functional: GGA-PBE
Structure: optimized geometry

Values from the calculation:
N(E_F) = 9.94 states/eV/cell
Polymorph energy (0 for the lowest one) = 0.011 eV per atom
Symmetry = P2_1/m
Calculated total energy = -3.60 eV/atom
Magnetization = 0.00 Bohr magnetons per cell

a = 4.0993 Å, b = 10.2564 Å, c = 7.0152 Å
α = 90.00°, β = 106.97°, γ = 90.00°
Element x y z (fractional)
Ca 0.0812 0.2500 0.1619
Ca 0.9188 0.7500 0.8381
Ac 0.3624 0.0650 0.7235
Ac 0.3624 0.4350 0.7235
Ac 0.6376 0.5650 0.2765
Ac 0.6376 0.9350 0.2765
Cu 0.2444 0.7500 0.4912
Cu 0.7556 0.2500 0.5088

=====

(10)
Compound: Ce3CoPt2
Source: Alexandria
Functional: GGA-PBE
Structure: optimized geometry

Values from the calculation:
N(E_F) = 52.16 states/eV/cell
Polymorph energy (0 for the lowest one) = 0.000 eV per atom
Symmetry = Pnma
Calculated total energy = -6.91 eV/atom
Magnetization = 5.26 Bohr magnetons per cell

a = 11.7724 Å, b = 3.9401 Å, c = 11.6743 Å
α = 90.00°, β = 90.00°, γ = 90.00°
Element x y z (fractional)
Ce 0.0499 0.2500 0.1306
Ce 0.1228 0.7500 0.5535
Ce 0.2310 0.2500 0.8072
Ce 0.2690 0.7500 0.3072
Ce 0.3772 0.2500 0.0535
Ce 0.4501 0.7500 0.6306
Ce 0.5499 0.2500 0.3694
Ce 0.6228 0.7500 0.9465
Ce 0.7310 0.2500 0.6928
Ce 0.7690 0.7500 0.1928
Ce 0.8772 0.2500 0.4465
Ce 0.9501 0.7500 0.8694
Co 0.1299 0.2500 0.3798
Co 0.3701 0.7500 0.8798
Co 0.6299 0.2500 0.1202
Co 0.8701 0.7500 0.6202
Pt 0.0059 0.2500 0.6950
Pt 0.1724 0.7500 0.9965
Pt 0.3276 0.2500 0.4965
Pt 0.4941 0.7500 0.1950
Pt 0.5059 0.2500 0.8050
Pt 0.6724 0.7500 0.5035
Pt 0.8276 0.2500 0.0035
Pt 0.9941 0.7500 0.3050

=====

(11)
Compound: Ba2TePt
Source: Alexandria
Functional: GGA-PBE
Structure: optimized geometry

Values from the calculation:
N(E_F) = 0.00 states/eV/cell
Symmetry = P4mm
Calculated total energy = -4.39 eV/atom
Magnetization = 0.01 Bohr magnetons per cell

a = 4.8250 Å, b = 4.8250 Å, c = 6.8256 Å
α = 90.00°, β = 90.00°, γ = 90.00°
Element x y z (fractional)
Ba 0.0000 0.0000 0.0000
Ba 0.5000 0.5000 0.4938
Te 0.5000 0.5000 0.9934
Pt 0.0000 0.0000 0.4931

=====

(12)
Compound: SiBTe2
Source: Alexandria
Functional: GGA-PBE
Structure: optimized geometry

Values from the calculation:
N(E_F) = 2.18 states/eV/cell
Polymorph energy (0 for the lowest one) = 0.233 eV per atom
Symmetry = R-3m
Calculated total energy = -3.68 eV/atom
Magnetization = 0.00 Bohr magnetons per cell

a = 8.9649 Å, b = 8.9649 Å, c = 8.9649 Å
α = 22.09°, β = 22.09°, γ = 22.09°
Element x y z (fractional)
Si 0.0000 0.0000 0.0000
B 0.5000 0.5000 0.5000
Te 0.1101 0.1101 0.1101
Te 0.8899 0.8899 0.8899

=====

(13)
Compound: CaPr3H
Source: Alexandria
Functional: GGA-PBE
Structure: optimized geometry

Values from the calculation:
N(E_F) = 5.51 states/eV/cell
Symmetry = Pm-3m
Calculated total energy = -4.06 eV/atom
Magnetization = 0.00 Bohr magnetons per cell

a = 5.2570 Å, b = 5.2570 Å, c = 5.2570 Å
α = 90.00°, β = 90.00°, γ = 90.00°
Element x y z (fractional)
Ca 0.0000 0.0000 0.0000
Pr 0.0000 0.5000 0.5000
Pr 0.5000 0.0000 0.5000
Pr 0.5000 0.5000 0.0000
H 0.5000 0.5000 0.5000

=====

(14)
Compound: Be3BAu
Source: Alexandria
Functional: GGA-PBE
Structure: optimized geometry

Values from the calculation:
N(E_F) = 1.42 states/eV/cell
Polymorph energy (0 for the lowest one) = 1.136 eV per atom
Symmetry = Pm-3m
Calculated total energy = -2.89 eV/atom
Magnetization = 0.00 Bohr magnetons per cell

a = 4.3239 Å, b = 4.3239 Å, c = 4.3239 Å
α = 90.00°, β = 90.00°, γ = 90.00°
Element x y z (fractional)
Be 0.0000 0.0000 0.5000
Be 0.0000 0.5000 0.0000
Be 0.5000 0.0000 0.0000
B 0.5000 0.5000 0.5000
Au 0.0000 0.0000 0.0000

=====

(15)
Compound: ErZn3Ga2
Source: Alexandria
Functional: GGA-PBE
Structure: optimized geometry

Values from the calculation:
N(E_F) = 2.70 states/eV/cell
Symmetry = C2/m
Calculated total energy = -2.70 eV/atom
Magnetization = 0.00 Bohr magnetons per cell

a = 7.8382 Å, b = 7.8382 Å, c = 7.5461 Å
α = 115.56°, β = 115.56°, γ = 31.39°
Element x y z (fractional)
Er 0.1421 0.1421 0.0773
Er 0.8579 0.8579 0.9227
Zn 0.0324 0.0324 0.3688
Zn 0.3117 0.3117 0.5333
Zn 0.3769 0.3769 0.2497
Zn 0.6231 0.6231 0.7503
Zn 0.6883 0.6883 0.4667
Zn 0.9676 0.9676 0.6312
Ga 0.2026 0.2026 0.7185
Ga 0.4804 0.4804 0.8263
Ga 0.5196 0.5196 0.1737
Ga 0.7974 0.7974 0.2815

=====

(16)
Compound: PmEr3Pb
Source: Alexandria
Functional: GGA-PBE
Structure: optimized geometry

Values from the calculation:
N(E_F) = 20.56 states/eV/cell
Symmetry = P2_1/c
Calculated total energy = -4.58 eV/atom
Magnetization = 0.00 Bohr magnetons per cell

a = 7.9526 Å, b = 9.1911 Å, c = 10.2689 Å
α = 90.00°, β = 125.05°, γ = 90.00°
Element x y z (fractional)
Pm 0.2215 0.0801 0.3306
Pm 0.2215 0.4199 0.8306
Pm 0.7785 0.5801 0.1694
Pm 0.7785 0.9199 0.6694
Er 0.0955 0.6761 0.0104
Er 0.0955 0.8239 0.5104
Er 0.2013 0.0790 0.9734
Er 0.2013 0.4210 0.4734
Er 0.4110 0.1165 0.7409
Er 0.4110 0.3835 0.2409
Er 0.5890 0.6165 0.7591
Er 0.5890 0.8835 0.2591
Er 0.7987 0.5790 0.5266
Er 0.7987 0.9210 0.0266
Er 0.9045 0.1761 0.4896
Er 0.9045 0.3239 0.9896
Pb 0.3491 0.7133 0.3828
Pb 0.3491 0.7867 0.8828
Pb 0.6509 0.2133 0.1172
Pb 0.6509 0.2867 0.6172

=====

(17)
Compound: Ho2TmSc3S6
Source: Alexandria
Functional: GGA-PBE
Structure: optimized geometry

Values from the calculation:
N(E_F) = 5.70 states/eV/cell
Symmetry = C2/m
Calculated total energy = -6.69 eV/atom
Magnetization = 0.00 Bohr magnetons per cell

a = 8.4449 Å, b = 8.4449 Å, c = 7.5843 Å
α = 102.86°, β = 102.86°, γ = 25.86°
Element x y z (fractional)
Ho 0.1671 0.1671 0.3342
Ho 0.8329 0.8329 0.6658
Tm 0.5000 0.5000 0.0000
Sc 0.1674 0.1674 0.8324
Sc 0.5000 0.5000 0.5000
Sc 0.8326 0.8326 0.1676
S 0.0033 0.0033 0.7454
S 0.3314 0.3314 0.9254
S 0.3368 0.3368 0.4090
S 0.6632 0.6632 0.5910
S 0.6686 0.6686 0.0746
S 0.9967 0.9967 0.2546

=====

(18)
Compound: Tb2Pm2SmMg5
Source: Alexandria
Functional: GGA-PBE
Structure: optimized geometry

Values from the calculation:
N(E_F) = 14.31 states/eV/cell
Symmetry = P4/mbm
Calculated total energy = -3.11 eV/atom
Magnetization = 0.00 Bohr magnetons per cell

a = 10.6513 Å, b = 10.6513 Å, c = 5.1329 Å
α = 90.00°, β = 90.00°, γ = 90.00°
Element x y z (fractional)
Tb 0.1208 0.3792 0.0000
Tb 0.3792 0.8792 0.0000
Tb 0.6208 0.1208 0.0000
Tb 0.8792 0.6208 0.0000
Pm 0.1765 0.6765 0.0000
Pm 0.3235 0.1765 0.0000
Pm 0.6765 0.8235 0.0000
Pm 0.8235 0.3235 0.0000
Sm 0.0000 0.0000 0.0000
Sm 0.5000 0.5000 0.0000
Mg 0.0000 0.5000 0.5000
Mg 0.0747 0.1964 0.5000
Mg 0.1964 0.9253 0.5000
Mg 0.3036 0.4253 0.5000
Mg 0.4253 0.6964 0.5000
Mg 0.5000 0.0000 0.5000
Mg 0.5747 0.3036 0.5000
Mg 0.6964 0.5747 0.5000
Mg 0.8036 0.0747 0.5000
Mg 0.9253 0.8036 0.5000

=====

(19)
Compound: Sr2CuHg
Source: Alexandria
Functional: GGA-PBE
Structure: optimized geometry

Values from the calculation:
N(E_F) = 3.39 states/eV/cell
Polymorph energy (0 for the lowest one) = 0.042 eV per atom
Symmetry = P2/m
Calculated total energy = -2.18 eV/atom
Magnetization = 0.00 Bohr magnetons per cell

a = 3.9116 Å, b = 3.8780 Å, c = 7.8753 Å
α = 90.00°, β = 90.32°, γ = 90.00°
Element x y z (fractional)
Sr 0.0011 0.0000 0.2615
Sr 0.9989 0.0000 0.7385
Cu 0.5000 0.5000 0.5000
Hg 0.5000 0.5000 0.0000

=====

(20)
Compound: Er3InAg3Te8
Source: Alexandria
Functional: GGA-PBE
Structure: optimized geometry

Values from the calculation:
N(E_F) = 5.20 states/eV/cell
Symmetry = C2/m
Calculated total energy = -4.01 eV/atom
Magnetization = 0.00 Bohr magnetons per cell

a = 8.6180 Å, b = 8.6180 Å, c = 8.6282 Å
α = 119.77°, β = 119.77°, γ = 60.27°
Element x y z (fractional)
Er 0.0000 0.0000 0.0000
Er 0.0000 0.5000 0.5000
Er 0.5000 0.0000 0.5000
In 0.5000 0.5000 0.0000
Ag 0.0000 0.5000 0.0000
Ag 0.5000 0.0000 0.0000
Ag 0.5000 0.5000 0.5000
Te 0.2503 0.2503 0.2504
Te 0.2521 0.2521 0.7558
Te 0.2519 0.7437 0.2473
Te 0.2563 0.7481 0.7527
Te 0.7437 0.2519 0.2473
Te 0.7481 0.2563 0.7527
Te 0.7479 0.7479 0.2442
Te 0.7497 0.7497 0.7496

=====

(21)
Compound: MgV2SnS
Source: Alexandria
Functional: GGA-PBE
Structure: optimized geometry

Values from the calculation:
N(E_F) = 6.95 states/eV/cell
Symmetry = P4/mmm
Calculated total energy = -4.45 eV/atom
Magnetization = 6.35 Bohr magnetons per cell

a = 5.1792 Å, b = 5.1792 Å, c = 5.1943 Å
α = 90.00°, β = 90.00°, γ = 90.00°
Element x y z (fractional)
Mg 0.0000 0.0000 0.0000
V 0.0000 0.5000 0.5000
V 0.5000 0.0000 0.5000
Sn 0.5000 0.5000 0.5000
S 0.5000 0.5000 0.0000